[1]
A relaxed TaMoOs2 crystal. Source: the Alexandria database, functional GGA-PBE.

- uncorrected energy (eV/atom) = -11.17
- ΔH_f (0 K) (eV per atom) = 0.114
- energy above the most stable polymorph in this dataset (kJ/mol of formula units) = 56.7

abc: 4.4668 4.4668 4.4668
angles: 60.00 60.00 60.00
Last column: nearest neighbours and their distance in Å.
Atoms (fractional coordinates):
Ta 0.0000 0.0000 0.0000  8 Os 2.74
Mo 0.5000 0.5000 0.5000  8 Os 2.74
Os 0.2500 0.2500 0.2500  4 Mo 2.74, 4 Ta 2.74
Os 0.7500 0.7500 0.7500  4 Ta 2.74, 4 Mo 2.74

***

[2]
A relaxed K3UAg2O6 crystal. Source: the Alexandria database, functional GGA-PBE.

- uncorrected energy (eV/atom) = -5.83
- raw formation energy (meV per atom) = -1661

abc: 6.2265 6.2265 6.2985
angles: 96.17 96.17 123.50
Last column: nearest neighbours and their distance in Å.
Atoms (fractional coordinates):
K 0.0000 0.0000 0.0000  6 O 2.71-2.79
K 0.3148 0.6852 0.0000  6 O 2.67-2.96
K 0.6852 0.3148 0.0000  6 O 2.67-2.96
U 0.5000 0.5000 0.5000  6 O 2.01-2.19
Ag 0.1614 0.8386 0.5000  2 O 2.19
Ag 0.8386 0.1614 0.5000  2 O 2.19
O 0.1318 0.4087 0.3146  1 U 2.19, 1 Ag 2.19
O 0.3248 0.3248 0.7390  1 U 2.01
O 0.4087 0.1318 0.3146  1 U 2.19, 1 Ag 2.19
O 0.5913 0.8682 0.6854  1 U 2.19, 1 Ag 2.19
O 0.6752 0.6752 0.2610  1 U 2.01
O 0.8682 0.5913 0.6854  1 U 2.19, 1 Ag 2.19

***

Number 1: total magnetization 0.00 μB/cell. Number 2: total magnetization 0.96 μB/cell.